[1]
First-principles (PBE-GGA) data for a geometry-optimized PrGdP2Os2O2 structure, as listed in OQMD.

## Properties
The final energy is -67.383 eV per cell.

Unit cell a=4.031 b=4.031 c=8.172 alpha=90.00 beta=90.00 gamma=90.00
Positions (direct):
Gd: 0.500 0.500 0.139
O: 0.500 0.000 0.008
O: 0.000 0.500 0.008
Os: 0.500 0.000 0.496
Os: 0.000 0.500 0.496
P: 0.000 0.000 0.348
P: 0.500 0.500 0.646
Pr: 0.000 0.000 0.858



[2]
First-principles (PBE-GGA) data for a geometry-optimized HoZr structure, as listed in OQMD.

## Properties
The formation energy is 0.061 eV/atom.

Unit cell a=5.859 b=9.013 c=5.342 alpha=90.00 beta=90.00 gamma=71.04
Positions (direct):
Ho: 0.815 0.393 0.000
Ho: 0.192 0.600 0.000
Ho: 0.609 0.807 0.000
Ho: 0.467 0.389 0.500
Ho: 0.256 0.811 0.500
Zr: 0.980 0.017 0.000
Zr: 0.397 0.183 0.000
Zr: 0.674 0.007 0.500
Zr: 0.081 0.193 0.500
Zr: 0.862 0.600 0.500



[3]
First-principles (PBE-GGA) data for a geometry-optimized LiPmPO structure, as listed in OQMD.

## Properties
The value obtained for the distance to the lowest polymorph of the same formula is 39 meV per atom.

Unit cell a=4.031 b=6.558 c=4.888 alpha=90.00 beta=90.00 gamma=90.00
Positions (direct):
Li: 0.000 0.684 0.001
Li: 0.000 0.316 0.501
O: 0.500 0.388 0.499
O: 0.500 0.612 0.999
P: 0.000 0.000 0.252
P: 0.000 0.000 0.752
Pm: 0.500 0.266 0.002
Pm: 0.500 0.734 0.502



[4]
First-principles (PBE-GGA) data for a geometry-optimized ErNbPb structure, as listed in OQMD.

## Properties
The value obtained for the distance to the lowest polymorph of the same formula is 0 meV per atom.

Unit cell a=4.873 b=4.873 c=4.873 alpha=60.00 beta=60.00 gamma=60.00
Positions (direct):
Er: 0.250 0.250 0.250
Nb: 0.750 0.750 0.750
Pb: 0.000 0.000 0.000



[5]
First-principles (PBE-GGA) data for a geometry-optimized SrGa2Au2 structure, as listed in OQMD.

## Properties
The value obtained for the distance to the lowest polymorph of the same formula is 0 meV per atom.

Unit cell a=6.540 b=6.540 c=6.540 alpha=140.53 beta=140.53 gamma=57.05
Positions (direct):
Au: 0.377 0.377 0.000
Au: 0.623 0.623 0.000
Ga: 0.750 0.250 0.500
Ga: 0.250 0.750 0.500
Sr: 0.000 0.000 0.000



[6]
First-principles (PBE-GGA) data for a geometry-optimized NbTeNO structure, as listed in OQMD.

## Properties
The value obtained for the distance to the lowest polymorph of the same formula is 252 meV per atom.

Unit cell a=4.240 b=4.240 c=8.458 alpha=90.00 beta=90.00 gamma=90.00
Positions (direct):
N: 0.750 0.750 0.256
N: 0.250 0.250 0.744
Nb: 0.750 0.750 0.050
Nb: 0.250 0.250 0.950
O: 0.750 0.250 0.000
O: 0.250 0.750 0.000
Te: 0.750 0.250 0.500
Te: 0.250 0.750 0.500



[7]
First-principles (PBE-GGA) data for a geometry-optimized PmTmNO structure, as listed in OQMD.

## Properties
The value obtained for the distance to the lowest polymorph of the same formula is 78 meV per atom.

Unit cell a=6.687 b=8.206 c=4.992 alpha=90.00 beta=90.00 gamma=90.00
Positions (direct):
N: 0.440 0.136 0.050
N: 0.940 0.864 0.050
N: 0.060 0.136 0.550
N: 0.560 0.864 0.550
O: 0.901 0.385 0.052
O: 0.401 0.615 0.052
O: 0.599 0.385 0.552
O: 0.099 0.615 0.552
Pm: 0.079 0.130 0.050
Pm: 0.579 0.870 0.050
Pm: 0.421 0.130 0.550
Pm: 0.921 0.870 0.550
Tm: 0.574 0.381 0.050
Tm: 0.074 0.619 0.050
Tm: 0.926 0.381 0.550
Tm: 0.426 0.619 0.550



[8]
First-principles (PBE-GGA) data for a geometry-optimized Y2ZrGa structure, as listed in OQMD.

## Properties
The final energy is -24.520 eV per cell.

Unit cell a=5.146 b=5.146 c=5.146 alpha=60.00 beta=60.00 gamma=60.00
Positions (direct):
Ga: 0.500 0.500 0.500
Y: 0.000 0.000 0.000
Y: 0.750 0.750 0.750
Zr: 0.250 0.250 0.250



[9]
First-principles (PBE-GGA) data for a geometry-optimized LaDyNO structure, as listed in OQMD.

## Properties
The value obtained for the distance to the lowest polymorph of the same formula is 339 meV per atom.

Unit cell a=4.469 b=4.469 c=8.695 alpha=90.00 beta=90.00 gamma=90.00
Positions (direct):
Dy: 0.750 0.250 0.500
Dy: 0.250 0.750 0.500
La: 0.250 0.250 0.109
La: 0.750 0.750 0.891
N: 0.750 0.750 0.438
N: 0.250 0.250 0.562
O: 0.750 0.250 0.000
O: 0.250 0.750 0.000



[10]
First-principles (PBE-GGA) data for a geometry-optimized P2PtPbO8 structure, as listed in OQMD.

## Properties
The final energy is -79.589 eV per cell.

Unit cell a=4.733 b=4.733 c=7.516 alpha=93.50 beta=93.50 gamma=66.87
Positions (direct):
O: 0.693 0.693 0.105
O: 0.754 0.266 0.299
O: 0.266 0.754 0.299
O: 0.748 0.748 0.459
O: 0.252 0.252 0.541
O: 0.734 0.246 0.701
O: 0.246 0.734 0.701
O: 0.307 0.307 0.895
P: 0.628 0.628 0.290
P: 0.372 0.372 0.710
Pb: 0.000 0.000 0.000
Pt: 0.000 0.000 0.500



[11]
First-principles (PBE-GGA) data for a geometry-optimized YInCu structure, as listed in OQMD.

## Properties
The final energy is -42.644 eV per cell.

Unit cell a=7.538 b=7.538 c=3.874 alpha=90.00 beta=90.00 gamma=120.00
Positions (direct):
Cu: 0.667 0.333 0.000
Cu: 0.333 0.667 0.000
Cu: 0.000 0.000 0.500
In: 0.257 0.000 0.000
In: 0.000 0.257 0.000
In: 0.743 0.743 0.000
Y: 0.592 0.000 0.500
Y: 0.408 0.408 0.500
Y: 0.000 0.592 0.500



[12]
First-principles (PBE-GGA) data for a geometry-optimized Co2Pd3Se2 structure, as listed in OQMD.

## Properties
The value obtained for the distance to the lowest polymorph of the same formula is 0 meV per atom.

Unit cell a=5.691 b=5.691 c=7.964 alpha=108.58 beta=108.58 gamma=95.99
Positions (direct):
Co: 0.428 0.428 0.218
Co: 0.835 0.835 0.396
Co: 0.164 0.164 0.602
Co: 0.572 0.572 0.781
Pd: 0.999 0.501 0.000
Pd: 0.501 0.999 0.000
Pd: 0.070 0.070 0.219
Pd: 0.697 0.302 0.500
Pd: 0.302 0.697 0.500
Pd: 0.934 0.934 0.783
Se: 0.844 0.419 0.246
Se: 0.419 0.844 0.246
Se: 0.580 0.155 0.754
Se: 0.155 0.580 0.754